Entry from the Alexandria database: an optimized crystal structure of KLiTlPb (PBE).

a = 5.5252 Å, b = 5.5252 Å, c = 5.5252 Å
α = 60.00°, β = 60.00°, γ = 60.00°
Fractional positions:
Pb1 0.2500 0.2500 0.2500
Tl1 0.0000 0.0000 0.0000
K1 0.7500 0.7500 0.7500
Li1 0.5000 0.5000 0.5000

Computed properties:
Its space group is F-43m (216). The total energy is -2.357 eV per atom. The value obtained for the calculated formation energy is -0.34 eV per formula unit. The total magnetization is 0.0 μB per cell. For the energy above the most stable polymorph in this dataset, the calculation gives 0.38 eV/f.u.

***

Entry from the Alexandria database: an optimized crystal structure of GaAsCl2F (PBE).

a = 5.5586 Å, b = 3.7489 Å, c = 5.5586 Å
α = 90.00°, β = 90.00°, γ = 90.00°
Last column: magnetic moment on the atom in μB.
Fractional positions:
As1 0.5000 0.5000 0.5000  0.62
F1 0.0000 0.0000 0.0000  0.00
Ga1 0.0000 0.5000 0.0000  0.01
Cl1 0.0000 0.0000 0.5000  0.07
Cl2 0.5000 0.0000 0.0000  0.03

Computed properties:
Its formation energy (no corrections) is -0.0860 eV/atom. Its space group is P4/mmm (123). The total energy is -2.734 eV per atom. The total magnetization is 1.4 μB per cell.

***

Entry from the Alexandria database: an optimized crystal structure of Rb3HfSc2S6 (PBE).

a = 6.6313 Å, b = 6.6313 Å, c = 7.9618 Å
α = 97.98°, β = 97.98°, γ = 120.00°
Fractional positions:
Rb1 0.1682 0.8318 0.5000
Rb2 0.8318 0.1682 0.5000
Rb3 0.5000 0.5000 0.5000
Hf1 0.0000 0.0000 0.0000
Sc1 0.3335 0.6665 0.0000
Sc2 0.6665 0.3335 0.0000
S1 0.9381 0.6104 0.8145
S2 0.7344 0.7344 0.1861
S3 0.0619 0.3896 0.1855
S4 0.6104 0.9381 0.8145
S5 0.2656 0.2656 0.8139
S6 0.3896 0.0619 0.1855

Computed properties:
Its formation energy (no corrections) is -1.6181 eV/atom. Its space group is C2/m (12). The total energy is -5.808 eV per atom. The total magnetization is 0.0 μB per cell.

***

Entry from the Alexandria database: an optimized crystal structure of CdHg2W (PBE).

a = 2.9078 Å, b = 2.9078 Å, c = 9.8575 Å
α = 90.00°, β = 90.00°, γ = 100.10°
Fractional positions:
Hg1 0.0000 0.0000 0.9954
Hg2 0.5000 0.5000 0.2743
W1 0.0000 0.0000 0.5026
Cd1 0.5000 0.5000 0.7276

Computed properties:
Its space group is Cmm2 (35). The total energy is -3.056 eV per atom. The value obtained for the calculated formation energy is 2.25 eV per formula unit. The total magnetization is 0.0 μB per cell.

***

Entry from the Alexandria database: an optimized crystal structure of Pb3CO (PBE).

a = 4.9228 Å, b = 4.9228 Å, c = 4.9228 Å
α = 90.00°, β = 90.00°, γ = 90.00°
Fractional positions:
Pb1 0.0000 0.5000 0.0000
Pb2 0.0000 0.0000 0.5000
Pb3 0.5000 0.0000 0.0000
C1 0.5000 0.5000 0.5000
O1 0.0000 0.0000 0.0000

Computed properties:
Its formation energy (no corrections) is 0.8780 eV/atom. Its space group is Pm-3m (221). The total energy is -4.183 eV per atom. The total magnetization is 0.0 μB per cell. For the energy above the most stable polymorph in this dataset, the calculation gives 0.00 eV/f.u.

***

Entry from the Alexandria database: an optimized crystal structure of CaTbTh2 (PBE).

a = 5.2445 Å, b = 5.0336 Å, c = 5.0336 Å
α = 90.00°, β = 90.00°, γ = 90.00°
Fractional positions:
Ca1 0.5000 0.5000 0.5000
Tb1 0.5000 0.0000 0.0000
Th1 0.0000 0.0000 0.5000
Th2 0.0000 0.5000 0.0000

Computed properties:
Its space group is P4/mmm (123). The total energy is -5.185 eV per atom. The value obtained for the calculated formation energy is 0.73 eV per formula unit. The total magnetization is 0.0 μB per cell. For the energy above the most stable polymorph in this dataset, the calculation gives 0.22 eV/f.u.

***

Entry from the Alexandria database: an optimized crystal structure of Ce6Ge2Au (PBE).

a = 3.9751 Å, b = 8.2050 Å, c = 8.2062 Å
α = 120.00°, β = 90.00°, γ = 90.00°
Last column: magnetic moment on the atom in μB.
Fractional positions:
Ce1 0.5000 0.5610 0.0000  0.65
Ce2 0.5000 0.4384 0.4384  0.65
Ce3 0.5000 0.0000 0.5616  0.65
Ce4 0.0000 0.2771 0.0000  0.64
Ce5 0.0000 0.7234 0.7235  0.64
Ce6 0.0000 0.9999 0.2765  0.64
Ge1 0.0000 0.3332 0.6665  -0.03
Ge2 0.0000 0.6668 0.3335  -0.03
Au1 0.5000 0.0001 0.0000  0.00

Computed properties:
Its space group is P-62m (189). The total energy is -5.849 eV per atom. The value obtained for the calculated formation energy is -4.52 eV per formula unit. The total magnetization is 4.8 μB per cell.

***

Entry from the Alexandria database: an optimized crystal structure of RbNpSe2S (PBE).

a = 4.2258 Å, b = 9.1399 Å, c = 8.9060 Å
α = 100.64°, β = 90.00°, γ = 90.00°
Last column: magnetic moment on the atom in μB.
Fractional positions:
Rb1 0.2500 0.6944 0.3344  -0.01
Rb2 0.7500 0.3056 0.6656  -0.01
Np1 0.2500 0.8549 0.8266  2.72
Np2 0.7500 0.1451 0.1734  2.72
Se1 0.7500 0.8977 0.6398  -0.16
Se2 0.7500 0.8362 0.0396  -0.14
Se3 0.2500 0.1023 0.3602  -0.16
Se4 0.2500 0.1638 0.9604  -0.14
S1 0.2500 0.5910 0.7316  -0.19
S2 0.7500 0.4090 0.2684  -0.19

Computed properties:
Its formation energy (no corrections) is -1.0497 eV/atom. Its space group is P2_1/m (11). The total energy is -6.051 eV per atom. The total magnetization is 4.0 μB per cell.

***

Entry from the Alexandria database: an optimized crystal structure of La4PmHo2 (PBE).

a = 6.9882 Å, b = 9.1132 Å, c = 9.1132 Å
α = 79.36°, β = 67.45°, γ = 67.45°
Fractional positions:
La1 0.1521 0.3464 0.3494
La2 0.1521 0.8494 0.8464
La3 0.2250 0.2431 0.7431
La4 0.7888 0.2431 0.7431
La5 0.2112 0.7569 0.2569
La6 0.8479 0.1506 0.1536
La7 0.7750 0.7569 0.2569
La8 0.8479 0.6536 0.6506
Pm1 0.0000 0.5000 0.0000
Pm2 0.5000 0.5000 0.0000
Ho1 0.2839 0.9661 0.4661
Ho2 0.5000 0.0000 0.0000
Ho3 0.5000 0.5000 0.5000
Ho4 0.7161 0.0339 0.5339

Computed properties:
Its space group is Imma (74). The total energy is -4.579 eV per atom. The value obtained for the calculated formation energy is 1.56 eV per formula unit. The total magnetization is 0.0 μB per cell. For the energy above the most stable polymorph in this dataset, the calculation gives 1.07 eV/f.u.

***

Entry from the Alexandria database: an optimized crystal structure of Ba2TcAg (PBE).

a = 3.7946 Å, b = 3.7946 Å, c = 9.1313 Å
α = 90.00°, β = 90.00°, γ = 90.00°
Fractional positions:
Ag1 0.5000 0.5000 0.6764
Ba1 0.0000 0.0000 0.9037
Ba2 0.5000 0.5000 0.3361
Tc1 0.0000 0.0000 0.5838

Computed properties:
Its space group is P4mm (99). The total energy is -3.649 eV per atom. The value obtained for the calculated formation energy is 2.47 eV per formula unit. The total magnetization is 0.0 μB per cell. For the energy above the most stable polymorph in this dataset, the calculation gives 0.62 eV/f.u.